[1]
DFT (PBE) results for a relaxed structure of ZrTa3Os4.

Cell: 3.4100 4.4149 8.8236 Å, 90.00 90.00 90.00°
With the nearest neighbours (Å) after each atom.
Positions (direct):
1 Zr 0.0000 0.0000 0.0000  8 Os 2.79-2.84
2 Ta 0.0000 0.0000 0.5000  8 Os 2.74-2.79
3 Ta 0.0000 0.5000 0.2558  8 Os 2.75-2.83
4 Ta 0.0000 0.5000 0.7442  8 Os 2.75-2.83
5 Os 0.5000 0.0000 0.2568  6 Ta 2.74-2.79, 2 Zr 2.84
6 Os 0.5000 0.0000 0.7432  6 Ta 2.74-2.79, 2 Zr 2.84
7 Os 0.5000 0.5000 0.0000  4 Zr 2.79, 4 Ta 2.83
8 Os 0.5000 0.5000 0.5000  8 Ta 2.75-2.79

[2]
DFT (PBE) results for a relaxed structure of ZrTaOs2.

Cell: 3.1555 3.1555 6.8390 Å, 90.00 90.00 90.00°
With the nearest neighbours (Å) after each atom.
Positions (direct):
1 Zr 0.0000 0.0000 0.0000  8 Os 2.89, 4 Zr 3.16
2 Ta 0.0000 0.0000 0.5000  8 Os 2.74
3 Os 0.5000 0.5000 0.2681  4 Ta 2.74, 4 Zr 2.89
4 Os 0.5000 0.5000 0.7319  4 Ta 2.74, 4 Zr 2.89

Number 1: calculated formation energy -0.29 eV/atom. Number 2: calculated formation energy -0.39 eV/atom.